## Al2V2Rh (PBE-GGA)

Data for a relaxed structure of Al2V2Rh.

It has space group P4/mbm (No. 127), with a = 7.0636 Å, b = 7.0636 Å, c = 2.9837 Å, α = 90.00°, β = 90.00° and γ = 90.00°. Symmetry generates all atoms from Al at (0.1991, 0.3009, 0.0000), V at (0.0987, 0.5987, 0.5000) and Rh at (0.0000, 0.0000, 0.5000).

The calculation puts the density of states at the Fermi level at 0.609 states/eV/atom. The calculation puts the volume at 148.9 Å³ per cell. As for the distance to the lowest polymorph of the same formula: 196 meV per atom.



## B5C7 (PBE-GGA)

Data for a relaxed structure of B5C7.

It has space group P3m1 (No. 156), with a = 2.6869 Å, b = 2.6869 Å, c = 15.1469 Å, α = 90.00°, β = 90.00° and γ = 120.00°. Symmetry generates all atoms from B at (0.0000, 0.0000, 0.0000), B at (0.0000, 0.0000, 0.1882), B at (0.6667, 0.3333, 0.3262), B at (0.6667, 0.3333, 0.5845), B at (0.6667, 0.3333, 0.8808), C at (0.0000, 0.0000, 0.5970), C at (0.0000, 0.0000, 0.7042), C at (0.3333, 0.6667, 0.2009), C at (0.3333, 0.6667, 0.3163), C at (0.3333, 0.6667, 0.7400), C at (0.3333, 0.6667, 0.8388) and C at (0.6667, 0.3333, 0.9918).

The calculation puts the density of states at the Fermi level at 0.125 states/eV/atom. The calculation puts the volume at 94.7 Å³ per cell. As for the distance to the lowest polymorph of the same formula: 72 meV per atom.



## Ac3Nd2Hg (PBE-GGA)

Data for a relaxed structure of Ac3Nd2Hg.

It has space group Cmmm (No. 65), with a = 6.0160 Å, b = 18.8530 Å, c = 3.9789 Å, α = 90.00°, β = 90.00° and γ = 90.00°. Symmetry generates all atoms from Ac at (0.0000, 0.0000, 0.0000), Ac at (0.0000, 0.1845, 0.5000), Nd at (0.0000, 0.3624, 0.0000) and Hg at (0.0000, 0.5000, 0.5000).

The calculation puts the density of states at the Fermi level at 1.287 states/eV/atom. The calculation puts the volume at 451.3 Å³ per cell. Its total energy is -46.03 eV for the cell shown.



## SrMgSi2 (PBE-GGA)

Data for a relaxed structure of SrMgSi2.

It has space group Pnma (No. 62), with a = 14.4419 Å, b = 4.4269 Å, c = 11.4605 Å, α = 90.00°, β = 90.00° and γ = 90.00°. Symmetry generates all atoms from Sr at (0.0612, 0.2500, 0.2406), Sr at (0.1966, 0.7500, 0.9770), Mg at (0.0597, 0.2500, 0.5586), Mg at (0.1898, 0.7500, 0.6802), Si at (0.0344, 0.2500, 0.9727), Si at (0.1066, 0.2500, 0.7883), Si at (0.1324, 0.7500, 0.4523) and Si at (0.2231, 0.7500, 0.2748).

The calculation puts the density of states at the Fermi level at 0.242 states/eV/atom. The calculation puts the volume at 732.7 Å³ per cell. As for the uncorrected formation energy: -0.355 eV per atom.



## Cr7Re3 (PBE-GGA)

Data for a relaxed structure of Cr7Re3.

It has space group P6_3mc (No. 186), with a = 7.7447 Å, b = 7.7447 Å, c = 5.2941 Å, α = 90.00°, β = 90.00° and γ = 120.00°. Symmetry generates all atoms from Cr at (0.0733, 0.5367, 0.0000), Cr at (0.1234, 0.2468, 0.2312), Cr at (0.3333, 0.6667, 0.3050) and Re at (0.2100, 0.4200, 0.6652).

The calculation puts the density of states at the Fermi level at 1.342 states/eV/atom. The calculation puts the volume at 275.0 Å³ per cell. Its total energy is -199.15 eV for the cell shown.



## AcHo3H (PBE-GGA)

Data for a relaxed structure of AcHo3H.

It has space group Pm-3m (No. 221), with a = 5.1013 Å, b = 5.1013 Å, c = 5.1013 Å, α = 90.00°, β = 90.00° and γ = 90.00°. Symmetry generates all atoms from Ac at (0.0000, 0.0000, 0.0000), Ho at (0.0000, 0.5000, 0.5000) and H at (0.5000, 0.5000, 0.5000).

The calculation puts the density of states at the Fermi level at 0.874 states/eV/atom. The calculation puts the volume at 132.8 Å³ per cell. Its total energy is -21.78 eV for the cell shown.



## Zr3V2Ni4 (PBE-GGA)

Data for a relaxed structure of Zr3V2Ni4.

It has space group P-1 (No. 2), with a = 4.9440 Å, b = 5.0163 Å, c = 12.4135 Å, α = 89.39°, β = 88.98° and γ = 61.36°. Symmetry generates all atoms from Zr at (0.0140, 0.4967, 0.3736), Zr at (0.3285, 0.8263, 0.0423), Zr at (0.3515, 0.8413, 0.2882), V at (0.0000, 0.0000, 0.5000), V at (0.1638, 0.6671, 0.8339), V at (0.5000, 0.0000, 0.5000), Ni at (0.0000, 0.5000, 0.0000), Ni at (0.1659, 0.1650, 0.8349), Ni at (0.3259, 0.8275, 0.6686), Ni at (0.3342, 0.3344, 0.1634) and Ni at (0.5000, 0.5000, 0.5000).

The calculation puts the density of states at the Fermi level at 1.329 states/eV/atom. The calculation puts the volume at 270.1 Å³ per cell. Its total energy is -139.25 eV for the cell shown.



## TiSeSN2 (PBE-GGA)

Data for a relaxed structure of TiSeSN2.

It has space group P4/mmm (No. 123), with a = 3.8033 Å, b = 3.8033 Å, c = 4.7513 Å, α = 90.00°, β = 90.00° and γ = 90.00°. Symmetry generates all atoms from Ti at (0.0000, 0.0000, 0.0000), Se at (0.5000, 0.5000, 0.5000), S at (0.5000, 0.5000, 0.0000) and N at (0.0000, 0.5000, 0.5000).

The calculation puts the density of states at the Fermi level at 0.735 states/eV/atom. The calculation puts the volume at 68.7 Å³ per cell. As for the distance to the lowest polymorph of the same formula: 584 meV per atom. As for the uncorrected formation energy: 1.118 eV per atom.



## YTeOsN2 (PBE-GGA)

Data for a relaxed structure of YTeOsN2.

It has space group P4/mmm (No. 123), with a = 4.2922 Å, b = 4.2922 Å, c = 6.3162 Å, α = 90.00°, β = 90.00° and γ = 90.00°. Symmetry generates all atoms from Y at (0.0000, 0.0000, 0.0000), Te at (0.0000, 0.0000, 0.5000), Os at (0.5000, 0.5000, 0.5000) and N at (0.0000, 0.5000, 0.0000).

The calculation puts the density of states at the Fermi level at 1.339 states/eV/atom. The calculation puts the volume at 116.4 Å³ per cell. As for the distance to the lowest polymorph of the same formula: 1364 meV per atom. As for the uncorrected formation energy: 1.643 eV per atom.



## PdRhN2 (PBE-GGA)

Data for a relaxed structure of PdRhN2.

It has space group R-3m (No. 166, hexagonal axes), with a = 3.0023 Å, b = 3.0023 Å, c = 18.5020 Å, α = 90.00°, β = 90.00° and γ = 120.00°. Symmetry generates all atoms from Pd at (0.0000, 0.0000, 0.0000), Rh at (0.0000, 0.0000, 0.5000) and N at (0.0000, 0.0000, 0.1066).

The calculation puts the density of states at the Fermi level at 0.888 states/eV/atom. The calculation puts the volume at 144.4 Å³ per cell. As for the distance to the lowest polymorph of the same formula: 0 meV per atom. As for the uncorrected formation energy: 0.685 eV per atom.



## Al3ReC (PBE-GGA)

Data for a relaxed structure of Al3ReC.

It has space group Pm-3m (No. 221), with a = 4.7686 Å, b = 4.7686 Å, c = 4.7686 Å, α = 90.00°, β = 90.00° and γ = 90.00°. Symmetry generates all atoms from Al at (0.0000, 0.0000, 0.5000), Re at (0.0000, 0.0000, 0.0000) and C at (0.5000, 0.5000, 0.5000).

The calculation puts the density of states at the Fermi level at 0.838 states/eV/atom. The calculation puts the volume at 108.4 Å³ per cell. As for the distance to the lowest polymorph of the same formula: 1217 meV per atom.



## HgPNO2 (PBE-GGA)

Data for a relaxed structure of HgPNO2.

It has space group P4/mmm (No. 123), with a = 4.1111 Å, b = 4.1111 Å, c = 4.2144 Å, α = 90.00°, β = 90.00° and γ = 90.00°. Symmetry generates all atoms from Hg at (0.0000, 0.0000, 0.0000), P at (0.5000, 0.5000, 0.5000), N at (0.0000, 0.0000, 0.5000) and O at (0.0000, 0.5000, 0.0000).

The calculation puts the density of states at the Fermi level at 0.552 states/eV/atom. The calculation puts the volume at 71.2 Å³ per cell. As for the uncorrected formation energy: 1.641 eV per atom.



## Y5CdRh (PBE-GGA)

Data for a relaxed structure of Y5CdRh.

It has space group C2/c (No. 15), with a = 9.2069 Å, b = 7.4349 Å, c = 11.9860 Å, α = 90.00°, β = 105.66° and γ = 90.00°. Symmetry generates all atoms from Y at (0.0000, 0.0018, 0.2500), Y at (0.1256, 0.3340, 0.0686), Y at (0.2499, 0.1680, 0.6243), Cd at (0.0000, 0.4069, 0.7500) and Rh at (0.0000, 0.0000, 0.0000).

The calculation puts the density of states at the Fermi level at 1.093 states/eV/atom. The calculation puts the volume at 790.0 Å³ per cell. Its total energy is -169.13 eV for the cell shown.



## CaSb2H2 (PBE-GGA)

Data for a relaxed structure of CaSb2H2.

It has space group I4/mmm (No. 139), with a = 4.4330 Å, b = 4.4330 Å, c = 10.1939 Å, α = 90.00°, β = 90.00° and γ = 90.00°. Symmetry generates all atoms from Ca at (0.0000, 0.0000, 0.0000), Sb at (0.0000, 0.5000, 0.2500) and H at (0.0000, 0.0000, 0.4624).

The calculation puts the density of states at the Fermi level at 0.171 states/eV/atom. The calculation puts the volume at 200.3 Å³ per cell. As for the distance to the lowest polymorph of the same formula: 0 meV per atom.



## ScHg2I (PBE-GGA)

Data for a relaxed structure of ScHg2I.

It has space group I-42d (No. 122), with a = 8.9561 Å, b = 8.9561 Å, c = 5.8987 Å, α = 90.00°, β = 90.00° and γ = 90.00°. Symmetry generates all atoms from Sc at (0.0000, 0.0000, 0.0000), Hg at (0.1996, 0.2500, 0.1250) and I at (0.0000, 0.0000, 0.5000).

The calculation puts the density of states at the Fermi level at 1.057 states/eV/atom. The calculation puts the volume at 473.1 Å³ per cell. As for the distance to the lowest polymorph of the same formula: 0 meV per atom. As for the uncorrected formation energy: -0.175 eV per atom.



## Nd2In9Pd3 (PBE-GGA)

Data for a relaxed structure of Nd2In9Pd3.

It has space group C2/c (No. 15), with a = 14.4927 Å, b = 8.3605 Å, c = 11.5628 Å, α = 90.00°, β = 114.78° and γ = 90.00°. Symmetry generates all atoms from Nd at (0.1682, 0.0831, 0.2516), In at (0.0000, 0.3651, 0.2500), In at (0.0587, 0.0758, 0.9259), In at (0.1081, 0.4124, 0.0643), In at (0.1089, 0.3090, 0.7488), In at (0.2287, 0.4133, 0.4255), Pd at (0.0833, 0.2497, 0.4999) and Pd at (0.2500, 0.2500, 0.0000).

The calculation puts the density of states at the Fermi level at 0.425 states/eV/atom. The calculation puts the volume at 1272.1 Å³ per cell. Its total energy is -225.38 eV for the cell shown.



## TbPr2TcN4 (PBE-GGA)

Data for a relaxed structure of TbPr2TcN4.

It has space group Cmcm (No. 63), with a = 3.4975 Å, b = 12.0786 Å, c = 12.1960 Å, α = 90.00°, β = 90.00° and γ = 90.00°. Symmetry generates all atoms from Tb at (0.0000, 0.1335, 0.2500), Pr at (0.0000, 0.3675, 0.0397), Tc at (0.0000, 0.1422, 0.7500), N at (0.0000, 0.0000, 0.0000), N at (0.0000, 0.2704, 0.6400) and N at (0.0000, 0.4329, 0.2500).

The calculation puts the density of states at the Fermi level at 0.280 states/eV/atom. The calculation puts the volume at 515.2 Å³ per cell. As for the uncorrected formation energy: -0.851 eV per atom.



## TiNb3O6 (PBE-GGA)

Data for a relaxed structure of TiNb3O6.

It has space group R-3 (No. 148, hexagonal axes), with a = 8.0084 Å, b = 8.0084 Å, c = 14.5723 Å, α = 90.00°, β = 90.00° and γ = 120.00°. Symmetry generates all atoms from Ti at (0.0000, 0.0000, 0.2264), Nb at (0.0219, 0.8042, 0.4222), O at (0.0278, 0.8208, 0.6730) and O at (0.0750, 0.8387, 0.1662).

The calculation puts the volume at 809.4 Å³ per cell. As for the uncorrected formation energy: -2.493 eV per atom.



## AcPr4Er8 (PBE-GGA)

Data for a relaxed structure of AcPr4Er8.

It has space group R-3m (No. 166, hexagonal axes), with a = 11.1552 Å, b = 11.1552 Å, c = 13.6240 Å, α = 90.00°, β = 90.00° and γ = 120.00°. Symmetry generates all atoms from Ac at (0.0000, 0.0000, 0.0000), Pr at (0.0000, 0.0000, 0.5000), Pr at (0.0000, 0.5000, 0.5000), Er at (0.0000, 0.0000, 0.2630) and Er at (0.0171, 0.5085, 0.2451).

The calculation puts the density of states at the Fermi level at 1.664 states/eV/atom. The calculation puts the volume at 1468.2 Å³ per cell. Its total energy is -158.23 eV for the cell shown.



## CsAgTeBr6 (PBE-GGA)

Data for a relaxed structure of CsAgTeBr6.

It has space group P312 (No. 149), with a = 7.4351 Å, b = 7.4351 Å, c = 8.0139 Å, α = 90.00°, β = 90.00° and γ = 120.00°. Symmetry generates all atoms from Cs at (0.0000, 0.0000, 0.0000), Ag at (0.3333, 0.6667, 0.5000), Te at (0.6667, 0.3333, 0.5000) and Br at (0.3822, 0.0163, 0.6983).

The calculation puts the density of states at the Fermi level at 0.000 states/eV/atom. The calculation puts the volume at 383.6 Å³ per cell. As for the uncorrected formation energy: -0.687 eV per atom.